Material: Ho8CuTe4As3
Method: DFT, PBE
State: relaxed

The value obtained for the uncorrected formation energy is -1.269 eV/atom. The total DFT energy (no corrections) comes out at -262.6 eV for the cell shown. Its calculated density is 8284 kg/m3.

It has space group R-3m (No. 166, hexagonal axes), with a = 8.3666 Å, b = 8.3666 Å, c = 21.0092 Å, α = 90.00°, β = 90.00° and γ = 120.00°. Symmetry generates all atoms from Ho at (0.0000, 0.0000, 0.2392), Ho at (0.0059, 0.5030, 0.2395), Cu at (0.0000, 0.0000, 0.5000), Te at (0.0000, 0.0000, 0.0000), Te at (0.0000, 0.5000, 0.0000) and As at (0.0000, 0.5000, 0.5000).